Entry 1:
First-principles (GGA-PBE) data for a relaxed KRu2 crystal, as listed in Alexandria via LeMat-Bulk.

abc: 4.2759 4.8636 7.5164
angles: 92.87 91.54 100.30
Space group P-1 (No. 2)
Symmetry-distinct sites (fractional):
1 K 0.2441 0.2367 0.3633 (multiplicity 2)
2 Ru 0.2278 0.8249 0.9953 (multiplicity 2)
3 Ru 0.2911 0.3461 0.8940 (multiplicity 2)

***

Entry 2:
First-principles (GGA-PBE) data for a relaxed Fe2NiRh crystal, as listed in Alexandria via LeMat-Bulk.

abc: 2.5761 4.0621 4.9210
angles: 90.00 102.07 90.00
Space group Pm (No. 6)
Symmetry-distinct sites (fractional):
1 Fe 0.0000 0.0000 0.0000 (multiplicity 1)
2 Fe 0.2046 0.5000 0.7480 (multiplicity 1)
3 Ni 0.8092 0.5000 0.2273 (multiplicity 1)
4 Rh 0.4762 0.0000 0.5015 (multiplicity 1)

***

Entry 3:
First-principles (GGA-PBE) data for a relaxed La2Sm15Th2 crystal, as listed in Alexandria via LeMat-Bulk.

abc: 11.3973 11.3973 17.9369
angles: 90.00 90.00 120.00
Space group R-3m (No. 166, hexagonal axes)
Symmetry-distinct sites (fractional):
1 La 0.0000 0.0000 0.1777 (multiplicity 6)
2 Sm 0.0000 0.2957 0.5000 (multiplicity 18)
3 Sm 0.0000 0.5000 0.0000 (multiplicity 9)
4 Sm 0.0124 0.5062 0.6376 (multiplicity 18)
5 Th 0.0000 0.0000 0.4149 (multiplicity 6)

***

One value per record, in order, for DOS(E_F): 5.75 4.08 92.61 states/eV per cell.
One value per record, in order, for E_form: 0.703 0.046 0.257 eV/atom.